Density functional theory data (meta-GGA SCAN) for a crystal of MgPtPb2 relaxed with PBEsol.

calculated formation energy	-0.23	eV per atom

The structure in CIF format:
```
data_MgPtPb2
_chemical_formula_sum 'Mg1 Pt1 Pb2'
_space_group_name_H-M_alt 'P 1'
_space_group_IT_number 1
_cell_length_a 3.747
_cell_length_b 6.102
_cell_length_c 6.102
_cell_angle_alpha 41.45
_cell_angle_beta 90.00
_cell_angle_gamma 90.00
loop_
_space_group_symop_operation_xyz
'x,y,z'
loop_
_atom_site_label
_atom_site_type_symbol
_atom_site_fract_x
_atom_site_fract_y
_atom_site_fract_z
_atom_site_occupancy
Mg1 Mg 0.000 0.000 0.000 1
Pt1 Pt 0.500 0.841 0.841 1
Pb1 Pb 0.000 0.286 0.286 1
Pb2 Pb 0.500 0.587 0.587 1
```

=====

Density functional theory data (meta-GGA SCAN) for a crystal of RbMgPtPb2 relaxed with PBEsol.

calculated formation energy	1.86	eV per atom

The structure in CIF format:
```
data_RbMgPtPb2
_chemical_formula_sum 'Rb1 Mg1 Pt1 Pb2'
_space_group_name_H-M_alt 'P 1'
_space_group_IT_number 1
_cell_length_a 5.779
_cell_length_b 5.779
_cell_length_c 5.429
_cell_angle_alpha 90.00
_cell_angle_beta 90.00
_cell_angle_gamma 90.00
loop_
_space_group_symop_operation_xyz
'x,y,z'
loop_
_atom_site_label
_atom_site_type_symbol
_atom_site_fract_x
_atom_site_fract_y
_atom_site_fract_z
_atom_site_occupancy
Rb1 Rb 0.000 0.000 0.000 1
Mg1 Mg 0.000 0.000 0.500 1
Pt1 Pt 0.500 0.500 0.500 1
Pb1 Pb 0.000 0.500 0.000 1
Pb2 Pb 0.500 0.000 0.000 1
```

=====

Density functional theory data (meta-GGA SCAN) for a crystal of Rb3MgPb relaxed with PBEsol.

calculated formation energy	0.23	eV per atom

The structure in CIF format:
```
data_Rb3MgPb
_chemical_formula_sum 'Rb3 Mg1 Pb1'
_space_group_name_H-M_alt 'P 1'
_space_group_IT_number 1
_cell_length_a 7.022
_cell_length_b 7.022
_cell_length_c 7.022
_cell_angle_alpha 90.00
_cell_angle_beta 90.00
_cell_angle_gamma 90.00
loop_
_space_group_symop_operation_xyz
'x,y,z'
loop_
_atom_site_label
_atom_site_type_symbol
_atom_site_fract_x
_atom_site_fract_y
_atom_site_fract_z
_atom_site_occupancy
Rb1 Rb 0.000 0.000 0.500 1
Rb2 Rb 0.000 0.500 0.000 1
Rb3 Rb 0.500 0.000 0.000 1
Mg1 Mg 0.500 0.500 0.500 1
Pb1 Pb 0.000 0.000 0.000 1
```

=====

Among the records above, which one has the lowest calculated formation energy? MgPtPb2

=====

Which of these has the highest calculated formation energy? RbMgPtPb2

=====

Repeat the third record exactly.
Density functional theory data (meta-GGA SCAN) for a crystal of Rb3MgPb relaxed with PBEsol.

calculated formation energy	0.23	eV per atom

The structure in CIF format:
```
data_Rb3MgPb
_chemical_formula_sum 'Rb3 Mg1 Pb1'
_space_group_name_H-M_alt 'P 1'
_space_group_IT_number 1
_cell_length_a 7.022
_cell_length_b 7.022
_cell_length_c 7.022
_cell_angle_alpha 90.00
_cell_angle_beta 90.00
_cell_angle_gamma 90.00
loop_
_space_group_symop_operation_xyz
'x,y,z'
loop_
_atom_site_label
_atom_site_type_symbol
_atom_site_fract_x
_atom_site_fract_y
_atom_site_fract_z
_atom_site_occupancy
Rb1 Rb 0.000 0.000 0.500 1
Rb2 Rb 0.000 0.500 0.000 1
Rb3 Rb 0.500 0.000 0.000 1
Mg1 Mg 0.500 0.500 0.500 1
Pb1 Pb 0.000 0.000 0.000 1
```